Material: NaYIN2
Method: DFT, GGA-PBE
State: optimized geometry

Computed properties:
- ΔE_f (raw): 1136 meV/atom
- D(E_F): 2.3 states/eV per cell

Cell: 4.4949 4.4949 5.1338 Å, 90.00 90.00 90.00°
With the nearest neighbours (Å) after each atom.
Space group P4/mmm (No. 123)
Inequivalent atoms, fractional coordinates:
Na (0.0000, 0.0000, 0.0000)  4 N 2.25
Y (0.5000, 0.5000, 0.5000)  4 I 3.18, 8 N 3.41
I (0.0000, 0.0000, 0.5000)  2 Na 2.57
N (0.0000, 0.5000, 0.0000)  2 Na 2.25